[1]
Material: KYTi
Method: DFT, GGA-PBE
State: relaxed

Unit cell a=4.5075 b=4.5087 c=14.0476 alpha=81.04 beta=80.92 gamma=60.04
With the nearest neighbours (Å) after each atom.
Fractional coordinates of all 6 atoms:
K  0.2138  0.2194  0.3604  3 Y 4.15-4.16, 7 K 4.51-4.62
K  0.7862  0.7806  0.6396  3 Y 4.15-4.16, 7 K 4.51-4.62
Y  0.0420  0.0403  0.8738  6 Ti 3.13-3.14, 1 Y 3.49
Y  0.9580  0.9597  0.1262  6 Ti 3.13-3.14, 1 Y 3.49
Ti  0.3334  0.3334  0.9999  3 Ti 2.60
Ti  0.6666  0.6666  0.0001  3 Ti 2.60

- Polymorph energy (0 for the lowest one): 0.140 eV/atom
- Total magnetization: 0.00 Bohr magnetons per cell
- Energy of formation from the pure elements: 0.35 eV/atom
- VASP energy: -28.821 eV/cell

=====

[2]
Material: KYTi
Method: DFT, GGA-PBE
State: relaxed

Unit cell a=4.5093 b=4.5093 c=14.0497 alpha=99.40 beta=99.40 gamma=60.06
With the nearest neighbours (Å) after each atom.
Fractional coordinates of all 6 atoms:
K  0.0000  0.0000  0.0000  3 Y 4.15-4.16, 8 K 4.51-4.63
K  0.2455  0.2455  0.7209  3 Y 4.15, 8 K 4.51-4.63
Y  0.4144  0.4144  0.2342  6 Ti 3.13, 1 Y 3.49
Y  0.5004  0.5004  0.4868  6 Ti 3.13, 1 Y 3.49
Ti  0.1241  0.1241  0.3605  3 Ti 2.60-2.61
Ti  0.7908  0.7908  0.3605  3 Ti 2.60-2.61

- Polymorph energy (0 for the lowest one): 0.140 eV/atom
- Total magnetization: 0.00 Bohr magnetons per cell
- Energy of formation from the pure elements: 0.35 eV/atom
- VASP energy: -28.821 eV/cell

=====

[3]
Material: KYTi
Method: DFT, GGA-PBE
State: relaxed

Unit cell a=6.3023 b=6.3023 c=10.3467 alpha=90.00 beta=90.00 gamma=120.00
With the nearest neighbours (Å) after each atom.
Fractional coordinates of all 6 atoms:
K  0.3333  0.6667  0.2500  3 Y 3.64
K  0.6667  0.3333  0.7500  3 Y 3.64
Y  0.0000  0.0000  0.2500  2 Ti 2.59
Y  0.0000  0.0000  0.7500  2 Ti 2.59
Ti  0.0000  0.0000  0.0000  2 Y 2.59
Ti  0.0000  0.0000  0.5000  2 Y 2.59

- Polymorph energy (0 for the lowest one): 1.795 eV/atom
- Total magnetization: 2.69 Bohr magnetons per cell
- Energy of formation from the pure elements: 2.00 eV/atom
- VASP energy: -18.890 eV/cell

=====

[4]
Material: K2YTi
Method: DFT, GGA-PBE
State: relaxed

Unit cell a=7.9482 b=7.9482 c=7.9482 alpha=99.31 beta=99.31 gamma=132.57
With the nearest neighbours (Å) after each atom.
Fractional coordinates of all 8 atoms:
K  0.0937  0.6250  0.9687  2 K 3.26, 2 Ti 3.51
K  0.3750  0.3437  0.4687  2 K 3.26, 2 Ti 3.51
K  0.6563  0.1250  0.0313  2 K 3.26, 2 Ti 3.51
K  0.8750  0.9063  0.5313  2 K 3.26, 2 Ti 3.51
Y  0.2500  0.7500  0.5000  2 Ti 3.20
Y  0.5000  0.5000  0.0000  2 Ti 3.20
Ti  0.0000  0.0000  0.0000  2 Y 3.20, 4 K 3.51
Ti  0.7500  0.2500  0.5000  2 Y 3.20, 4 K 3.51

- Polymorph energy (0 for the lowest one): 0.000 eV/atom
- Total magnetization: 8.84 Bohr magnetons per cell
- Energy of formation from the pure elements: 1.17 eV/atom
- VASP energy: -23.757 eV/cell

=====

[5]
Material: KYTi
Method: DFT, GGA-PBE
State: relaxed

Unit cell a=5.6663 b=5.6663 c=7.1532 alpha=90.00 beta=90.00 gamma=120.91
With the nearest neighbours (Å) after each atom.
Fractional coordinates of all 6 atoms:
K  0.1699  0.8301  0.7500  5 Ti 3.26-3.58
K  0.8301  0.1699  0.2500  5 Ti 3.26-3.58
Y  0.5000  0.5000  0.0000  2 Y 3.58, 6 Ti 3.68-3.80, 6 K 3.71-3.72
Y  0.5000  0.5000  0.5000  2 Y 3.58, 6 Ti 3.68-3.80, 6 K 3.71-3.72
Ti  0.1605  0.8395  0.2500  5 K 3.26-3.58
Ti  0.8395  0.1605  0.7500  5 K 3.26-3.58

- Polymorph energy (0 for the lowest one): 0.871 eV/atom
- Total magnetization: 6.88 Bohr magnetons per cell
- Energy of formation from the pure elements: 1.08 eV/atom
- VASP energy: -24.438 eV/cell

=====

[6]
Material: KYTi
Method: DFT, GGA-PBE
State: relaxed

Unit cell a=3.5343 b=6.4630 c=9.9809 alpha=71.70 beta=89.67 gamma=74.19
With the nearest neighbours (Å) after each atom.
Fractional coordinates of all 6 atoms:
K  0.0000  0.0000  0.0000  5 K 3.53-3.94, 4 Ti 3.66-3.84
K  0.3263  0.3771  0.1943  5 K 3.53-3.94
Y  0.6529  0.7130  0.4597  3 Ti 3.10-3.12
Y  0.9593  0.0959  0.5872  4 Ti 3.15-3.22, 2 Y 3.52
Ti  0.2945  0.4209  0.7103  2 Ti 2.65
Ti  0.6588  0.6896  0.7748  2 Ti 2.65

- Polymorph energy (0 for the lowest one): 0.310 eV/atom
- Total magnetization: 2.41 Bohr magnetons per cell
- Energy of formation from the pure elements: 0.52 eV/atom
- VASP energy: -27.805 eV/cell